(1)
{"formula": "AlCd2W", "functional": "PBEsol", "state": "optimized geometry", "magnetic_moment_mub_per_cell": 0.00, "formation_energy_ev_per_atom": 0.39, "spacegroup": "P2/m", "lattice": [[-1.935, -0.756, -1.800], [3.578, 0.182, -3.471], [1.105, -4.928, 0.881]], "species": ["Al", "Cd", "Cd", "W"], "frac_coords": [[0.500, 0.000, 0.500], [0.279, 0.252, 0.000], [0.721, 0.748, 0.000], [0.000, 0.500, 0.500]]}

(2)
{"formula": "AlCd2W", "functional": "PBEsol", "state": "optimized geometry", "magnetic_moment_mub_per_cell": 0.00, "formation_energy_ev_per_atom": 0.29, "spacegroup": "Cmm2", "lattice": [[-2.112, 1.656, 0.855], [-1.216, -1.693, -1.894], [-2.006, -5.984, 6.637]], "species": ["Cd", "Cd", "Al", "W"], "frac_coords": [[0.000, 0.000, 0.012], [0.500, 0.500, 0.736], [0.500, 0.500, 0.268], [0.000, 0.000, 0.483]]}

(3)
{"formula": "AlCd2W", "functional": "PBEsol", "state": "optimized geometry", "magnetic_moment_mub_per_cell": 0.00, "formation_energy_ev_per_atom": 0.47, "spacegroup": "P4/mmm", "lattice": [[-2.452, 1.218, -0.655], [-0.282, -1.744, -2.192], [-4.355, -5.930, 5.279]], "species": ["Al", "Cd", "Cd", "W"], "frac_coords": [[0.500, 0.500, 0.000], [0.000, 0.000, 0.255], [0.000, 0.000, 0.745], [0.500, 0.500, 0.500]]}